(1)
{"formula": "La2CoO4", "functional": "meta-GGA SCAN", "state": "PBEsol geometry", "cell": [[5.2985, 0.0000, 0.0000], [0.0000, 5.3937, 0.0000], [-2.6493, 0.0000, 6.3259]], "species": ["La", "La", "La", "La", "Co", "Co", "O", "O", "O", "O", "O", "O", "O", "O"], "fractional_positions": [[0.1371, 0.4914, 0.2743], [0.8629, 0.5086, 0.7257], [0.3629, 0.9914, 0.7257], [0.6371, 0.0086, 0.2743], [0.5000, 0.5000, 0.0000], [0.0000, 0.0000, 0.0000], [0.3218, 0.5338, 0.6435], [0.6782, 0.4662, 0.3565], [0.1782, 0.0338, 0.3565], [0.8218, 0.9662, 0.6435], [0.7392, 0.2500, 0.9784], [0.7608, 0.7500, 0.0216], [0.2392, 0.2500, 0.9784], [0.2608, 0.7500, 0.0216]]}

(2)
{"formula": "NiTeP2Cl", "functional": "meta-GGA SCAN", "state": "PBEsol geometry", "cell": [[4.3955, 0.0000, 0.0000], [0.0000, 4.5040, 0.0000], [0.0000, 0.0000, 4.5040]], "species": ["Ni", "Te", "P", "P", "Cl"], "fractional_positions": [[0.0000, 0.0000, 0.0000], [0.5000, 0.5000, 0.5000], [0.0000, 0.0000, 0.5000], [0.0000, 0.5000, 0.0000], [0.5000, 0.0000, 0.0000]]}

(3)
{"formula": "Mg3SnS", "functional": "meta-GGA SCAN", "state": "PBEsol geometry", "cell": [[-3.2687, 4.0102, -0.4144], [-2.0597, -2.1196, -4.2664], [-3.4657, -2.5225, 2.9263]], "species": ["Mg", "Mg", "Mg", "S", "Sn"], "fractional_positions": [[0.0000, 0.5000, 0.0000], [0.0000, 0.0000, 0.5000], [0.5000, 0.0000, 0.0000], [0.5000, 0.5000, 0.5000], [0.0000, 0.0000, 0.0000]]}

DFT total energy list, top to bottom, in eV per atom: -21.354; -16.066; -12.058